Entry from Alexandria via LeMat-Bulk: a relaxed CdHgOs2 crystal (GGA-PBE).

Results
Symmetry: P4/mmm
DFT formation energy: 1.015 eV/atom
Calculated volume: 17.27 Å³/atom

Cell: 3.9395 3.9395 4.4502 Å, 90.00 90.00 90.00°
Fractional positions:
Cd1 0.0000 0.0000 0.0000
Hg1 0.5000 0.5000 0.0000
Os1 0.0000 0.5000 0.5000
Os2 0.5000 0.0000 0.5000

---

Entry from Alexandria via LeMat-Bulk: a relaxed CdHgOs crystal (GGA-PBE).

Results
Symmetry: Fmm2
DFT formation energy: 0.722 eV/atom
Calculated volume: 18.75 Å³/atom

Cell: 7.9340 7.6570 2.9394 Å, 84.49 73.87 21.64°
Fractional positions:
Cd1 0.0000 0.0000 0.0000
Hg1 0.3219 0.3219 0.6781
Os1 0.6589 0.6589 0.3411

---

Entry from Alexandria via LeMat-Bulk: a relaxed CdHgOs2 crystal (GGA-PBE).

Results
Symmetry: Cmmm
DFT formation energy: 1.033 eV/atom
Calculated volume: 17.31 Å³/atom

Cell: 5.1967 5.1967 2.8730 Å, 90.00 90.00 116.81°
Fractional positions:
Cd1 0.0000 0.0000 0.0000
Hg1 0.5000 0.5000 0.0000
Os1 0.0000 0.5000 0.5000
Os2 0.5000 0.0000 0.5000

---

Entry from Alexandria via LeMat-Bulk: a relaxed CdHgOs2 crystal (GGA-PBE).

Results
Symmetry: Pmmm
DFT formation energy: 0.970 eV/atom
Calculated volume: 18.04 Å³/atom

Cell: 2.8106 4.4707 5.7417 Å, 90.00 90.00 90.00°
Fractional positions:
Cd1 0.0000 0.0000 0.0000
Hg1 0.0000 0.0000 0.5000
Os1 0.5000 0.5000 0.2084
Os2 0.5000 0.5000 0.7916